# Ir5OsRh6

An optimized crystal structure of Ir5OsRh6 (PBE, the Alexandria database).

Lattice parameters (Å, degrees): 3.8450 7.7416 11.5425 90.00 90.00 90.00
Closest atoms and distances in Å follow each position.
Space group Immm (No. 71)
Asymmetric unit:
Ir 0.0000 0.0000 0.0000 x2  4 Ir 2.70, 8 Rh 2.74
Ir 0.0000 0.0000 0.3356 x4  8 Rh 2.69-2.76, 2 Os 2.70, 2 Ir 2.75
Ir 0.0000 0.5000 0.3352 x4  4 Ir 2.70-2.75, 8 Rh 2.73-2.74
Os 0.0000 0.5000 0.0000 x2  4 Ir 2.70, 8 Rh 2.71-2.72
Rh 0.0000 0.2472 0.5000 x4  6 Ir 2.69-2.74, 2 Os 2.71, 4 Rh 2.72
Rh 0.0000 0.2513 0.1665 x8  4 Rh 2.72, 1 Os 2.72, 7 Ir 2.72-2.76

- ΔE_f: 1 kJ/mol of atoms
- Magnetic moment: 0.0 μB/f.u.
- Calculated volume: 14.3 A^3/atom